19
Lattice="5.552 3.205 5.706 -5.552 3.205 5.706 0.000 -6.411 5.706" Properties=species:S:1:pos:R:3 comment="Rb2Mg5Pb12 (GGA-PBE, optimized geometry)" e_form_ev_per_fu=-1.32 crystal_system=trigonal pbc="T T T"
Rb 0.000 0.000 2.496
Rb 0.000 0.000 14.622
Mg -2.776 -1.603 5.706
Mg 0.000 0.000 6.877
Mg -2.776 1.603 11.412
Mg 0.000 3.205 5.706
Mg 0.000 0.000 10.241
Pb 0.000 -3.028 5.430
Pb -2.622 1.514 5.430
Pb -1.611 -2.791 8.559
Pb -3.222 0.000 8.559
Pb -2.622 -1.514 11.687
Pb 1.611 -2.791 8.559
Pb -1.611 2.791 8.559
Pb 2.622 1.514 5.430
Pb 3.222 0.000 8.559
Pb 1.611 2.791 8.559
Pb 2.622 -1.514 11.687
Pb 0.000 3.028 11.687

---

20
Lattice="-6.538 7.163 3.618 6.538 -7.163 3.618 6.538 7.163 -3.618" Properties=species:S:1:pos:R:3 comment="Rb2Mg3Pb5 (GGA-PBE, optimized geometry)" e_form_ev_per_fu=-1.08 crystal_system=orthorhombic pbc="T T T"
Rb 3.164 1.875 0.000
Rb 3.164 -1.875 3.618
Rb 3.373 9.038 0.000
Rb 3.373 5.288 3.618
Mg 11.410 1.785 0.000
Mg 6.538 0.000 1.809
Mg 4.873 5.378 0.000
Mg 1.665 1.785 3.618
Mg 0.000 7.163 1.809
Mg -4.873 5.378 3.618
Pb 6.538 -3.458 1.809
Pb 8.421 1.596 0.000
Pb 0.000 0.000 1.809
Pb 1.883 5.567 0.000
Pb 6.538 3.458 1.809
Pb 0.000 3.705 1.809
Pb 4.654 1.596 3.618
Pb 0.000 0.000 5.427
Pb -1.883 5.567 3.618
Pb 0.000 10.621 1.809

---

5
Lattice="5.721 0.000 0.000 0.000 5.721 0.000 0.000 0.000 5.721" Properties=species:S:1:pos:R:3 comment="RbMgPb3 (GGA-PBE, optimized geometry)" e_form_ev_per_fu=0.60 crystal_system=cubic polymorph_energy_mev_per_atom=210.6 pbc="T T T"
Rb 0.000 0.000 0.000
Mg 2.861 2.861 2.861
Pb 0.000 2.861 2.861
Pb 2.861 0.000 2.861
Pb 2.861 2.861 0.000